1.
VASP calculation (PBE) on Cd2Ga2Ag after structural relaxation.

```
data_Cd2Ga2Ag
_chemical_formula_sum 'Cd4 Ga4 Ag2'
_cell_length_a 7.792
_cell_length_b 7.792
_cell_length_c 3.542
_cell_angle_alpha 90.00
_cell_angle_beta 90.00
_cell_angle_gamma 90.00
_symmetry_space_group_name_H-M 'P 1'
_symmetry_Int_Tables_number 1
loop_
_symmetry_equiv_pos_as_xyz
'x,y,z'
loop_
_atom_site_label
_atom_site_fract_x
_atom_site_fract_y
_atom_site_fract_z
Ag1 0.000 0.000 0.000
Ag2 0.500 0.500 0.000
Ga1 0.835 0.335 0.500
Ga2 0.665 0.835 0.500
Ga3 0.165 0.665 0.500
Ga4 0.335 0.165 0.500
Cd1 0.638 0.138 0.000
Cd2 0.362 0.862 0.000
Cd3 0.138 0.362 0.000
Cd4 0.862 0.638 0.000
```

## Properties
E_tot: -1.996 eV per atom
Theoretical density: 7.29 g/cm3
Energy of formation from the pure elements: 0.76 eV/f.u.
Space-group type: P4/mbm (127)

2.
VASP calculation (PBE) on Ba2DyMnSe5 after structural relaxation.

```
data_Ba2DyMnSe5
_chemical_formula_sum 'Ba4 Dy2 Mn2 Se10'
_cell_length_a 4.302
_cell_length_b 9.636
_cell_length_c 13.415
_cell_angle_alpha 90.00
_cell_angle_beta 90.00
_cell_angle_gamma 102.90
_symmetry_space_group_name_H-M 'P 1'
_symmetry_Int_Tables_number 1
loop_
_symmetry_equiv_pos_as_xyz
'x,y,z'
loop_
_atom_site_label
_atom_site_fract_x
_atom_site_fract_y
_atom_site_fract_z
Se1 0.305 0.609 0.669
Se2 0.039 0.077 0.012
Se3 0.654 0.309 0.513
Se4 0.695 0.391 0.169
Se5 0.346 0.691 0.013
Se6 0.498 0.997 0.269
Se7 0.313 0.626 0.378
Se8 0.502 0.003 0.769
Se9 0.961 0.923 0.512
Se10 0.687 0.374 0.878
Ba1 0.124 0.248 0.335
Ba2 0.875 0.749 0.192
Ba3 0.125 0.251 0.692
Ba4 0.876 0.752 0.835
Mn1 0.440 0.881 0.427
Mn2 0.560 0.119 0.927
Dy1 0.801 0.602 0.529
Dy2 0.199 0.398 0.029
```

## Properties
E_tot: -5.450 eV per atom
Theoretical density: 5.43 g/cm3
Space-group type: Cmc2_1 (36)

3.
VASP calculation (PBE) on HfMn2Cd after structural relaxation.

```
data_HfMn2Cd
_chemical_formula_sum 'Hf2 Mn4 Cd2'
_cell_length_a 7.226
_cell_length_b 7.226
_cell_length_c 5.851
_cell_angle_alpha 51.86
_cell_angle_beta 51.86
_cell_angle_gamma 90.00
_symmetry_space_group_name_H-M 'P 1'
_symmetry_Int_Tables_number 1
loop_
_symmetry_equiv_pos_as_xyz
'x,y,z'
loop_
_atom_site_label
_atom_site_fract_x
_atom_site_fract_y
_atom_site_fract_z
Mn1 0.875 0.874 0.750
Mn2 0.624 0.125 0.250
Mn3 0.375 0.376 0.750
Mn4 0.126 0.625 0.250
Hf1 0.750 0.250 0.500
Hf2 0.000 0.000 0.000
Cd1 0.250 0.750 0.500
Cd2 0.500 0.500 0.000
```

## Properties
E_tot: -6.677 eV per atom
Theoretical density: 8.94 g/cm3
Energy of formation from the pure elements: 2.50 eV/f.u.
Space-group type: I-42d (122)

4.
VASP calculation (PBE) on KCd9Au2 after structural relaxation.

```
data_KCd9Au2
_chemical_formula_sum 'K2 Cd18 Au4'
_cell_length_a 7.782
_cell_length_b 9.362
_cell_length_c 9.362
_cell_angle_alpha 80.05
_cell_angle_beta 65.44
_cell_angle_gamma 65.44
_symmetry_space_group_name_H-M 'P 1'
_symmetry_Int_Tables_number 1
loop_
_symmetry_equiv_pos_as_xyz
'x,y,z'
loop_
_atom_site_label
_atom_site_fract_x
_atom_site_fract_y
_atom_site_fract_z
K1 0.250 0.500 0.500
K2 0.500 0.000 0.000
Cd1 0.742 0.824 0.582
Cd2 0.008 0.918 0.676
Cd3 0.602 0.082 0.324
Cd4 0.008 0.676 0.918
Cd5 0.316 0.676 0.082
Cd6 0.074 0.324 0.918
Cd7 0.434 0.824 0.418
Cd8 0.074 0.918 0.324
Cd9 0.316 0.082 0.676
Cd10 0.434 0.418 0.824
Cd11 0.676 0.176 0.582
Cd12 0.148 0.418 0.176
Cd13 0.602 0.324 0.082
Cd14 0.742 0.582 0.824
Cd15 0.750 0.500 0.500
Cd16 0.676 0.582 0.176
Cd17 0.148 0.176 0.418
Cd18 0.000 0.000 0.000
Au1 0.875 0.250 0.750
Au2 0.375 0.750 0.750
Au3 0.875 0.750 0.250
Au4 0.875 0.250 0.250
```

## Properties
E_tot: -1.480 eV per atom
Theoretical density: 8.50 g/cm3
Energy of formation from the pure elements: -1.87 eV/f.u.
Space-group type: I4_1/amd (141)

5.
VASP calculation (PBE) on BaIn after structural relaxation.

```
data_BaIn
_chemical_formula_sum 'Ba2 In2'
_cell_length_a 4.106
_cell_length_b 4.106
_cell_length_c 9.957
_cell_angle_alpha 90.00
_cell_angle_beta 90.00
_cell_angle_gamma 90.00
_symmetry_space_group_name_H-M 'P 1'
_symmetry_Int_Tables_number 1
loop_
_symmetry_equiv_pos_as_xyz
'x,y,z'
loop_
_atom_site_label
_atom_site_fract_x
_atom_site_fract_y
_atom_site_fract_z
Ba1 0.750 0.750 0.805
Ba2 0.250 0.250 0.195
In1 0.750 0.750 0.425
In2 0.250 0.250 0.575
```

## Properties
E_tot: -2.545 eV per atom
Theoretical density: 4.99 g/cm3
Energy of formation from the pure elements: -0.43 eV/f.u.
Space-group type: P4/nmm (129)

6.
VASP calculation (PBE) on PrCo2GeP after structural relaxation.

```
data_PrCo2GeP
_chemical_formula_sum 'Pr2 Co4 Ge2 P2'
_cell_length_a 4.136
_cell_length_b 6.125
_cell_length_c 7.092
_cell_angle_alpha 90.00
_cell_angle_beta 90.00
_cell_angle_gamma 109.73
_symmetry_space_group_name_H-M 'P 1'
_symmetry_Int_Tables_number 1
loop_
_symmetry_equiv_pos_as_xyz
'x,y,z'
loop_
_atom_site_label
_atom_site_fract_x
_atom_site_fract_y
_atom_site_fract_z
Pr1 0.568 0.135 0.250
Pr2 0.432 0.865 0.750
P1 0.000 0.000 0.500
P2 0.000 0.000 0.000
Ge1 0.277 0.554 0.250
Ge2 0.723 0.446 0.750
Co1 0.180 0.360 0.935
Co2 0.180 0.360 0.565
Co3 0.820 0.640 0.065
Co4 0.820 0.640 0.435
```

## Properties
E_tot: -6.384 eV per atom
Theoretical density: 7.12 g/cm3
Energy of formation from the pure elements: -2.90 eV/f.u.
Space-group type: Cmcm (63)

7.
VASP calculation (PBE) on Rb2Pb2Au after structural relaxation.

```
data_Rb2Pb2Au
_chemical_formula_sum 'Rb2 Pb2 Au1'
_cell_length_a 4.757
_cell_length_b 4.757
_cell_length_c 8.968
_cell_angle_alpha 74.62
_cell_angle_beta 74.62
_cell_angle_gamma 90.00
_symmetry_space_group_name_H-M 'P 1'
_symmetry_Int_Tables_number 1
loop_
_symmetry_equiv_pos_as_xyz
'x,y,z'
loop_
_atom_site_label
_atom_site_fract_x
_atom_site_fract_y
_atom_site_fract_z
Pb1 0.416 0.416 0.168
Pb2 0.584 0.584 0.832
Rb1 0.250 0.750 0.500
Rb2 0.750 0.250 0.500
Au1 0.000 0.000 0.000
```

## Properties
E_tot: -2.098 eV per atom
Theoretical density: 6.91 g/cm3
Energy of formation from the pure elements: 2.14 eV/f.u.
Space-group type: I4/mmm (139)

8.
VASP calculation (PBE) on AcDyTe2 after structural relaxation.

```
data_AcDyTe2
_chemical_formula_sum 'Ac1 Dy1 Te2'
_cell_length_a 3.916
_cell_length_b 3.916
_cell_length_c 7.887
_cell_angle_alpha 90.00
_cell_angle_beta 90.00
_cell_angle_gamma 90.00
_symmetry_space_group_name_H-M 'P 1'
_symmetry_Int_Tables_number 1
loop_
_symmetry_equiv_pos_as_xyz
'x,y,z'
loop_
_atom_site_label
_atom_site_fract_x
_atom_site_fract_y
_atom_site_fract_z
Dy1 0.500 0.500 0.000
Te1 0.000 0.000 0.769
Te2 0.000 0.000 0.231
Ac1 0.500 0.500 0.500
```

## Properties
E_tot: -4.992 eV per atom
Theoretical density: 8.85 g/cm3
Space-group type: P4/mmm (123)

| no. | total magnetization (Bohr magnetons per cell) |
| --- | --- |
| 1 | 0.00 |
| 2 | 8.00 |
| 3 | 10.99 |
| 4 | 0.00 |
| 5 | 0.08 |
| 6 | 3.17 |
| 7 | 0.00 |
| 8 | 0.78 |